Entry 1:
The following is a DFT calculation (PBE) of an optimized crystal structure of CsNa2HfB.

Output
The crystal system is tetragonal. The total magnetic moment is 5.0 Bohr magnetons per cell. Its formation energy is 2160 meV per atom. The value obtained for the volume is 248 Å³ per cell.

Cell lengths 6.193, 6.193, 6.466 Å; angles 90.00, 90.00, 90.00 degrees
Fractional positions:
Cs (0.000, 0.000, 0.000)
Na (0.000, 0.500, 0.500)
Na (0.500, 0.000, 0.500)
Hf (0.000, 0.000, 0.500)
B (0.500, 0.500, 0.000)

***

Entry 2:
The following is a DFT calculation (PBE) of an optimized crystal structure of CsHfB2O6.

Output
The crystal system is monoclinic. The total magnetic moment is 2.0 Bohr magnetons per cell. The value obtained for the formation energy (no corrections) is -2.54 eV/atom. The value obtained for the volume is 326 Å³ per cell.

Cell lengths 6.537, 6.537, 8.111 Å; angles 103.02, 103.02, 94.51 degrees
Fractional positions:
Cs (0.119, 0.881, 0.750)
Cs (0.881, 0.119, 0.250)
Hf (0.330, 0.670, 0.250)
Hf (0.670, 0.330, 0.750)
B (0.197, 0.410, 0.833)
B (0.410, 0.197, 0.333)
B (0.590, 0.803, 0.667)
B (0.803, 0.590, 0.167)
O (0.011, 0.661, 0.253)
O (0.245, 0.574, 0.982)
O (0.324, 0.358, 0.272)
O (0.339, 0.989, 0.247)
O (0.358, 0.324, 0.772)
O (0.426, 0.755, 0.518)
O (0.574, 0.245, 0.482)
O (0.642, 0.676, 0.228)
O (0.661, 0.011, 0.753)
O (0.676, 0.642, 0.728)
O (0.755, 0.426, 0.018)
O (0.989, 0.339, 0.747)